# CrPbS2

Crystalline CrPbS2 at its relaxed geometry (GGA-PBE, Alexandria via LeMat-Bulk).

Results
E: -22.92 eV for the cell shown
M_tot: 3.9 μB per formula unit

Cell: 8.268 8.268 8.268 Å, 27.38 27.38 27.38°
Each line ends with the local moment (μB).
Sites, in units of the cell vectors:
Pb (0.502, 0.502, 0.502)  0.08
Cr (0.003, 0.003, 0.003)  3.37
S (0.643, 0.643, 0.643)  -0.11
S (0.102, 0.102, 0.102)  -0.03